1.
{
  "formula": "PrGa6Rh2",
  "functional": "PBE-GGA",
  "state": "relaxed",
  "ef_ev_per_fu": -1.8,
  "total_energy_ev_per_atom": -4.38,
  "lattice": [[5.0556, 0.0000, 0.0000], [-2.5278, 4.3783, 0.0000], [0.0000, 0.0000, 9.0024]],
  "species": ["Pr", "Ga", "Ga", "Ga", "Ga", "Ga", "Ga", "Rh", "Rh"],
  "frac_coords": [[0.0000, 0.0000, 0.0000], [0.0000, 0.3329, 0.7100], [0.0000, 0.6671, 0.2900], [0.3329, 0.0000, 0.7100], [0.3329, 0.3329, 0.2900], [0.6671, 0.0000, 0.2900], [0.6671, 0.6671, 0.7100], [0.3333, 0.6667, 0.5000], [0.6667, 0.3333, 0.5000]]
}


2.
{
  "formula": "PrGa3RuRh",
  "functional": "PBE-GGA",
  "state": "relaxed",
  "ef_ev_per_fu": -2.6,
  "total_energy_ev_per_atom": -5.52,
  "lattice": [[3.8673, -5.4010, 0.0000], [3.8673, 5.4010, 0.0000], [0.0000, 0.0000, 5.8865]],
  "species": ["Pr", "Pr", "Ga", "Ga", "Ga", "Ga", "Ga", "Ga", "Ru", "Ru", "Rh", "Rh"],
  "frac_coords": [[0.2156, 0.7844, 0.7500], [0.7844, 0.2156, 0.2500], [0.2394, 0.2394, 0.0000], [0.2394, 0.2394, 0.5000], [0.3005, 0.6995, 0.2500], [0.6995, 0.3005, 0.7500], [0.7606, 0.7606, 0.0000], [0.7606, 0.7606, 0.5000], [0.0789, 0.9211, 0.2500], [0.9211, 0.0789, 0.7500], [0.4767, 0.5233, 0.7500], [0.5233, 0.4767, 0.2500]]
}


3.
{
  "formula": "Pr2Ga5Ru2Rh",
  "functional": "PBE-GGA",
  "state": "relaxed",
  "ef_ev_per_fu": -4.1,
  "total_energy_ev_per_atom": -5.47,
  "lattice": [[10.7299, 0.0000, 0.0000], [0.0000, 10.7299, 0.0000], [0.0000, 0.0000, 3.1818]],
  "species": ["Pr", "Pr", "Pr", "Pr", "Ga", "Ga", "Ga", "Ga", "Ga", "Ga", "Ga", "Ga", "Ga", "Ga", "Ru", "Ru", "Ru", "Ru", "Rh", "Rh"],
  "frac_coords": [[0.1806, 0.3194, 0.0000], [0.3194, 0.8194, 0.0000], [0.6806, 0.1806, 0.0000], [0.8194, 0.6806, 0.0000], [0.0000, 0.5000, 0.5000], [0.0536, 0.8097, 0.5000], [0.1903, 0.0536, 0.5000], [0.3097, 0.5536, 0.5000], [0.4464, 0.3097, 0.5000], [0.5000, 0.0000, 0.5000], [0.5536, 0.6903, 0.5000], [0.6903, 0.4464, 0.5000], [0.8097, 0.9464, 0.5000], [0.9464, 0.1903, 0.5000], [0.1286, 0.6286, 0.0000], [0.3714, 0.1286, 0.0000], [0.6286, 0.8714, 0.0000], [0.8714, 0.3714, 0.0000], [0.0000, 0.0000, 0.0000], [0.5000, 0.5000, 0.0000]]
}